GGA-PBE LiEuZnRu, relaxed; formation energy from the elements = 0.095 eV/atom
1.0
-0.289 -2.096 -4.177
3.648 -2.419 -1.663
-0.213 -4.670 -0.266
Zn Ru Li Eu
1 1 1 1
direct
0.000 0.000 0.000
0.750 0.750 0.750
0.250 0.250 0.250
0.500 0.500 0.500


GGA-PBE LiEuS2, relaxed; ΔE_f (raw) = -1.4615 eV per atom
1.0
-2.809 2.609 -1.181
-1.144 -2.539 -2.887
-3.595 -2.307 3.454
S Li Eu
2 1 1
direct
0.000 0.000 0.500
0.500 0.500 0.000
0.500 0.500 0.500
0.000 0.000 0.000


Sequential N(E_F) output: 1.807, 1.307 states/eV per atom